First-principles (PBE) data for crystalline Ho3Ga4 at its relaxed geometry, as listed in Alexandria via LeMat-Bulk.

Output
- energy above the most stable polymorph in this dataset (eV per atom) = 0.035
- calculated formation energy (eV per atom) = -0.5892
- Fermi-level density of states (states/eV/atom) = 0.593

Cell: 4.0916 10.8345 13.9729 Å, 90.00 90.00 90.00°
Last column: nearest neighbours and their distance in Å.
Space group Cmcm (No. 63)
Asymmetric unit:
Ho1 0.0000 0.0014 0.2500 x4  7 Ga 2.96-3.20
Ho2 0.0000 0.2984 0.1003 x8  8 Ga 3.02-3.30
Ga1 0.0000 0.0000 0.0000 x4  4 Ga 2.65
Ga2 0.0000 0.2715 0.7500 x4  2 Ga 2.60
Ga3 0.0000 0.4152 0.6010 x8  3 Ga 2.60-2.65